(1)
Entry from Alexandria via LeMat-Bulk: a geometry-optimized RbSnCl3 structure (GGA-PBE).

Properties
Space group: No. 194
DFT total energy: -3.387 eV/atom
Energy relative to the elements, uncorrected: -6.425 eV/f.u.
V: 287.5 Å³/cell

Cell lengths 5.3465, 5.3465, 11.6153 Å; angles 90.00, 90.00, 120.00 degrees
Closest atoms and distances in Å follow each position.
Atoms (fractional coordinates):
1 Rb 0.3333 0.6667 0.2500  3 Cl 3.09
2 Rb 0.6667 0.3333 0.7500  3 Cl 3.09
3 Sn 0.0000 0.0000 0.0000  8 Cl 2.90-3.15
4 Sn 0.0000 0.0000 0.5000  8 Cl 2.90-3.15
5 Cl 0.0000 0.0000 0.2500  2 Sn 2.90, 3 Rb 3.09
6 Cl 0.0000 0.0000 0.7500  2 Sn 2.90, 3 Rb 3.09
7 Cl 0.3333 0.6667 0.5559  3 Sn 3.15, 3 Cl 3.35
8 Cl 0.3333 0.6667 0.9441  3 Sn 3.15, 3 Cl 3.35
9 Cl 0.6667 0.3333 0.0559  3 Sn 3.15, 3 Cl 3.35
10 Cl 0.6667 0.3333 0.4441  3 Sn 3.15, 3 Cl 3.35

(2)
Entry from Alexandria via LeMat-Bulk: a geometry-optimized RbSn3Cl structure (GGA-PBE).

Properties
Space group: No. 221
DFT total energy: -2.779 eV/atom
Polymorph energy (0 for the lowest one): 0.00 eV per formula unit
Energy relative to the elements, uncorrected: 0.930 eV/f.u.
V: 180.0 Å³/cell

Cell lengths 5.6463, 5.6463, 5.6463 Å; angles 90.00, 90.00, 90.00 degrees
Closest atoms and distances in Å follow each position.
Atoms (fractional coordinates):
1 Rb 0.0000 0.0000 0.0000  12 Sn 3.99
2 Sn 0.0000 0.5000 0.5000  2 Cl 2.82
3 Sn 0.5000 0.0000 0.5000  2 Cl 2.82
4 Sn 0.5000 0.5000 0.0000  2 Cl 2.82
5 Cl 0.5000 0.5000 0.5000  6 Sn 2.82

(3)
Entry from Alexandria via LeMat-Bulk: a geometry-optimized RbSnCl3 structure (GGA-PBE).

Properties
Space group: No. 12
DFT total energy: -3.472 eV/atom
Energy relative to the elements, uncorrected: -6.851 eV/f.u.
V: 354.8 Å³/cell

Cell lengths 9.8559, 9.8559, 8.5919 Å; angles 98.44, 98.44, 25.47 degrees
Closest atoms and distances in Å follow each position.
Atoms (fractional coordinates):
1 Rb 0.1390 0.1390 0.1263  6 Cl 3.28-3.41
2 Rb 0.8610 0.8610 0.8737  6 Cl 3.28-3.41
3 Sn 0.4103 0.4103 0.3700  3 Cl 2.55-2.83
4 Sn 0.5897 0.5897 0.6300  3 Cl 2.55-2.83
5 Cl 0.0240 0.0240 0.7837  2 Sn 2.92
6 Cl 0.1620 0.1620 0.5161  2 Sn 2.83
7 Cl 0.3165 0.3165 0.1269  1 Sn 2.55
8 Cl 0.6835 0.6835 0.8731  1 Sn 2.55
9 Cl 0.8380 0.8380 0.4839  2 Sn 2.83
10 Cl 0.9760 0.9760 0.2163  2 Sn 2.92

(4)
Entry from Alexandria via LeMat-Bulk: a geometry-optimized RbSnCl3 structure (GGA-PBE).

Properties
Space group: No. 119
DFT total energy: -2.967 eV/atom
Energy relative to the elements, uncorrected: -4.325 eV/f.u.
V: 377.1 Å³/cell

Cell lengths 12.0993, 12.0993, 12.0993 Å; angles 152.50, 152.50, 39.29 degrees
Closest atoms and distances in Å follow each position.
Atoms (fractional coordinates):
1 Rb 0.0000 0.0000 0.0000  4 Cl 3.17
2 Rb 0.7500 0.2500 0.5000  8 Cl 3.12-3.21
3 Sn 0.1696 0.6696 0.5000  2 Cl 2.94
4 Sn 0.3304 0.8304 0.5000  2 Cl 2.94
5 Cl 0.3029 0.3029 0.0000  2 Sn 2.94, 2 Rb 3.12
6 Cl 0.3717 0.1243 0.2474  2 Cl 2.85-2.91, 1 Rb 3.17
7 Cl 0.6971 0.6971 0.0000  2 Sn 2.94, 2 Rb 3.12
8 Cl 0.8757 0.1231 0.2474  2 Cl 2.85-2.91, 1 Rb 3.17
9 Cl 0.8757 0.6283 0.7526  2 Cl 2.85-2.91, 1 Rb 3.17
10 Cl 0.8769 0.1243 0.7526  2 Cl 2.85-2.91, 1 Rb 3.17

(5)
Entry from Alexandria via LeMat-Bulk: a geometry-optimized RbSn2Cl structure (GGA-PBE).

Properties
Space group: No. 225
DFT total energy: -2.526 eV/atom
Polymorph energy (0 for the lowest one): 3.08 eV per formula unit
Energy relative to the elements, uncorrected: 0.717 eV/f.u.
V: 131.4 Å³/cell

Cell lengths 5.7066, 5.7066, 5.7066 Å; angles 60.00, 60.00, 60.00 degrees
Closest atoms and distances in Å follow each position.
Atoms (fractional coordinates):
1 Rb 0.0000 0.0000 0.0000  8 Sn 3.49
2 Sn 0.2500 0.2500 0.2500  4 Cl 3.49, 4 Rb 3.49
3 Sn 0.7500 0.7500 0.7500  4 Rb 3.49, 4 Cl 3.49
4 Cl 0.5000 0.5000 0.5000  8 Sn 3.49

(6)
Entry from Alexandria via LeMat-Bulk: a geometry-optimized RbSnCl3 structure (GGA-PBE).

Properties
Space group: No. 194
DFT total energy: -3.449 eV/atom
Energy relative to the elements, uncorrected: -6.733 eV/f.u.
V: 381.8 Å³/cell

Cell lengths 5.0238, 5.0238, 17.4672 Å; angles 90.00, 90.00, 120.00 degrees
Closest atoms and distances in Å follow each position.
Atoms (fractional coordinates):
1 Rb 0.0000 0.0000 0.0000  6 Cl 3.34
2 Rb 0.0000 0.0000 0.5000  6 Cl 3.34
3 Sn 0.3333 0.6667 0.2500  5 Cl 2.72-2.90
4 Sn 0.6667 0.3333 0.7500  5 Cl 2.72-2.90
5 Cl 0.0000 0.0000 0.2500  3 Sn 2.90
6 Cl 0.0000 0.0000 0.7500  3 Sn 2.90
7 Cl 0.3333 0.6667 0.0943  1 Sn 2.72
8 Cl 0.3333 0.6667 0.4057  1 Sn 2.72
9 Cl 0.6667 0.3333 0.5943  1 Sn 2.72
10 Cl 0.6667 0.3333 0.9057  1 Sn 2.72